(1)
AlVPdW2 | PBE | relaxed

abc: 4.5688 4.5688 4.2972
angles: 90.00 90.00 90.00
Closest atoms and distances in Å follow each position.
Element x y z (fractional)
Al 0.0000 0.0000 0.0000  2 Pd 2.15, 4 W 2.28
V 0.5000 0.5000 0.5000  8 W 3.14, 4 Pd 3.23
Pd 0.0000 0.0000 0.5000  2 Al 2.15
W 0.0000 0.5000 0.0000  2 Al 2.28
W 0.5000 0.0000 0.0000  2 Al 2.28

Results
ΔE_f = 1.452 eV per atom
Fermi-level density of states = 3.6 states/eV/f.u.

---

(2)
Pm2Dy3Ho3 | PBE | relaxed

abc: 5.0427 5.0428 20.1007
angles: 90.00 90.00 90.00
Closest atoms and distances in Å follow each position.
Element x y z (fractional)
Pm 0.0000 0.0000 0.2499  4 Pm 3.57, 4 Ho 3.58, 4 Dy 3.58-3.59
Pm 0.0000 0.0000 0.7501  4 Pm 3.57, 4 Ho 3.58, 4 Dy 3.58-3.59
Pm 0.5000 0.5000 0.2501  4 Pm 3.57, 4 Ho 3.58, 4 Dy 3.58-3.59
Pm 0.5000 0.5000 0.7499  4 Pm 3.57, 4 Ho 3.58, 4 Dy 3.58-3.59
Dy 0.0000 0.0000 0.0000  4 Dy 3.54, 8 Ho 3.54-3.57
Dy 0.0000 0.5000 0.1233  6 Ho 3.54-3.57, 2 Dy 3.54, 4 Pm 3.58-3.59
Dy 0.0000 0.5000 0.8767  6 Ho 3.54-3.57, 2 Dy 3.54, 4 Pm 3.58-3.59
Dy 0.5000 0.0000 0.3767  6 Ho 3.54-3.57, 2 Dy 3.54, 4 Pm 3.58-3.59
Dy 0.5000 0.0000 0.6233  6 Ho 3.54-3.57, 2 Dy 3.54, 4 Pm 3.58-3.59
Dy 0.5000 0.5000 0.5000  4 Dy 3.54, 8 Ho 3.54-3.57
Ho 0.0000 0.0000 0.5000  8 Dy 3.54-3.57, 4 Ho 3.54
Ho 0.0000 0.5000 0.3767  6 Dy 3.54-3.57, 2 Ho 3.54, 4 Pm 3.58
Ho 0.0000 0.5000 0.6233  6 Dy 3.54-3.57, 2 Ho 3.54, 4 Pm 3.58
Ho 0.5000 0.0000 0.1233  6 Dy 3.54-3.57, 2 Ho 3.54, 4 Pm 3.58
Ho 0.5000 0.0000 0.8767  6 Dy 3.54-3.57, 2 Ho 3.54, 4 Pm 3.58
Ho 0.5000 0.5000 0.0000  8 Dy 3.54-3.57, 4 Ho 3.54

Results
energy relative to the lowest polymorph listed for this composition = 1.8 kJ/mol of atoms
ΔE_f = 0.021 eV per atom
Fermi-level density of states = 11.6 states/eV/f.u.

---

(3)
TbHo2Cd3 | PBE | relaxed

abc: 5.2815 5.2815 6.4872
angles: 90.00 90.00 120.00
Closest atoms and distances in Å follow each position.
Element x y z (fractional)
Tb 0.0000 0.0000 0.0000  8 Cd 3.23-3.24
Ho 0.3333 0.6667 0.6640  8 Cd 3.23-3.26
Ho 0.6667 0.3333 0.3360  8 Cd 3.23-3.26
Cd 0.0000 0.0000 0.5000  6 Ho 3.23, 2 Tb 3.24
Cd 0.3333 0.6667 0.1661  5 Ho 3.23-3.26, 3 Tb 3.23
Cd 0.6667 0.3333 0.8339  5 Ho 3.23-3.26, 3 Tb 3.23

Results
ΔE_f = -0.319 eV per atom
Fermi-level density of states = 6.2 states/eV/f.u.

---

(4)
FeCo2Si | PBE | relaxed

abc: 4.8708 7.9439 2.5314
angles: 90.00 114.49 90.00
Closest atoms and distances in Å follow each position.
Element x y z (fractional)
Fe 0.0000 0.0000 0.0000  4 Co 2.40, 2 Si 2.44, 2 Fe 2.53
Fe 0.5000 0.5000 0.0000  4 Co 2.40, 2 Si 2.44, 2 Fe 2.53
Co 0.2500 0.2500 0.5000  2 Fe 2.40, 2 Si 2.40, 4 Co 2.44-2.53
Co 0.2500 0.7500 0.5000  2 Fe 2.40, 2 Si 2.40, 4 Co 2.44-2.53
Co 0.7500 0.2500 0.5000  2 Fe 2.40, 2 Si 2.40, 4 Co 2.44-2.53
Co 0.7500 0.7500 0.5000  2 Fe 2.40, 2 Si 2.40, 4 Co 2.44-2.53
Si 0.0000 0.5000 0.0000  4 Co 2.40, 2 Fe 2.44, 2 Si 2.53
Si 0.5000 0.0000 0.0000  4 Co 2.40, 2 Fe 2.44, 2 Si 2.53

Results
raw formation energy = -0.15 eV per atom
Fermi-level density of states = 3.9 states/eV/f.u.

---

(5)
Sc6TlRh2 | PBE | relaxed

abc: 7.9703 7.9703 7.9703
angles: 112.71 111.24 104.58
Closest atoms and distances in Å follow each position.
Element x y z (fractional)
Sc 0.0294 0.2387 0.7907  2 Rh 2.60-2.88
Sc 0.1869 0.2894 0.4763  3 Rh 2.84-2.90, 1 Tl 3.06
Sc 0.1869 0.7106 0.8975  3 Rh 2.84-2.90, 1 Tl 3.06
Sc 0.3279 0.0286 0.7007  3 Rh 2.57-2.84
Sc 0.3279 0.6273 0.2993  3 Rh 2.57-2.84
Sc 0.4480 0.2387 0.2093  2 Rh 2.60-2.88
Sc 0.5520 0.7613 0.7907  2 Rh 2.60-2.88
Sc 0.6721 0.3727 0.7007  3 Rh 2.57-2.84
Sc 0.6721 0.9714 0.2993  3 Rh 2.57-2.84
Sc 0.8131 0.2894 0.1025  3 Rh 2.84-2.90, 1 Tl 3.06
Sc 0.8131 0.7106 0.5237  3 Rh 2.84-2.90, 1 Tl 3.06
Sc 0.9706 0.7613 0.2093  2 Rh 2.60-2.88
Tl 0.0000 0.0000 0.0000  8 Sc 2.99-3.06, 2 Rh 3.05
Tl 0.5000 0.5000 0.0000  12 Sc 3.13-3.38
Rh 0.1372 0.6372 0.5000  6 Sc 2.57-2.84, 1 Rh 2.67
Rh 0.3393 0.0000 0.3393  8 Sc 2.60-2.90, 1 Rh 2.89
Rh 0.6607 0.0000 0.6607  8 Sc 2.60-2.90, 1 Rh 2.89
Rh 0.8628 0.3628 0.5000  6 Sc 2.57-2.84, 1 Rh 2.67

Results
ΔE_f = -0.550 eV per atom
Fermi-level density of states = 10.4 states/eV/f.u.

---

(6)
HgN | PBE | relaxed

abc: 8.0332 8.0332 4.4832
angles: 90.00 90.00 90.00
Closest atoms and distances in Å follow each position.
Element x y z (fractional)
Hg 0.0908 0.2804 0.0000  4 N 2.19-2.33
Hg 0.2196 0.5908 0.5000  4 N 2.19-2.33
Hg 0.2804 0.9092 0.0000  4 N 2.19-2.33
Hg 0.4092 0.2196 0.5000  4 N 2.19-2.33
Hg 0.5908 0.7804 0.5000  4 N 2.19-2.33
Hg 0.7196 0.0908 0.0000  4 N 2.19-2.33
Hg 0.7804 0.4092 0.5000  4 N 2.19-2.33
Hg 0.9092 0.7196 0.0000  4 N 2.19-2.33
N 0.1567 0.3258 0.5000  4 Hg 2.19-2.33
N 0.1742 0.6567 0.0000  4 Hg 2.19-2.33
N 0.3258 0.8433 0.5000  4 Hg 2.19-2.33
N 0.3433 0.1742 0.0000  4 Hg 2.19-2.33
N 0.6567 0.8258 0.0000  4 Hg 2.19-2.33
N 0.6742 0.1567 0.5000  4 Hg 2.19-2.33
N 0.8258 0.3433 0.0000  4 Hg 2.19-2.33
N 0.8433 0.6742 0.5000  4 Hg 2.19-2.33

Results
energy relative to the lowest polymorph listed for this composition = 133.8 kJ/mol of atoms
raw formation energy = 1.44 eV per atom
Fermi-level density of states = 0.8 states/eV/f.u.

---

(7)
Cd2Pd3Au4 | PBE | relaxed

abc: 8.2536 8.2536 4.9498
angles: 97.83 97.83 74.17
Closest atoms and distances in Å follow each position.
Element x y z (fractional)
Cd 0.1025 0.3438 0.3517  5 Pd 2.81-2.90, 4 Au 2.88-2.89, 1 Cd 2.99
Cd 0.3438 0.1025 0.8517  5 Pd 2.81-2.90, 4 Au 2.88-2.89, 1 Cd 2.99
Cd 0.6562 0.8975 0.1483  5 Pd 2.81-2.90, 4 Au 2.88-2.89, 1 Cd 2.99
Cd 0.8975 0.6562 0.6483  5 Pd 2.81-2.90, 4 Au 2.88-2.89, 1 Cd 2.99
Pd 0.1228 0.8772 0.7500  8 Au 2.85-2.90, 2 Cd 2.90
Pd 0.2046 0.4606 0.9119  4 Cd 2.81-2.90, 6 Au 2.83-2.92
Pd 0.4606 0.2046 0.4119  4 Cd 2.81-2.90, 6 Au 2.83-2.92
Pd 0.5394 0.7954 0.5881  4 Cd 2.81-2.90, 6 Au 2.83-2.92
Pd 0.7954 0.5394 0.0881  4 Cd 2.81-2.90, 6 Au 2.83-2.92
Pd 0.8772 0.1228 0.2500  8 Au 2.85-2.90, 2 Cd 2.90
Au 0.0190 0.7625 0.1988  2 Au 2.84-2.86, 5 Pd 2.85-2.90, 3 Cd 2.88-2.89
Au 0.2375 0.9810 0.3012  2 Au 2.84-2.86, 5 Pd 2.85-2.90, 3 Cd 2.88-2.89
Au 0.3218 0.5685 0.4743  5 Pd 2.83-2.92, 4 Au 2.84-2.86, 1 Cd 2.88
Au 0.4315 0.6782 0.0257  5 Pd 2.83-2.92, 4 Au 2.84-2.86, 1 Cd 2.88
Au 0.5685 0.3218 0.9743  5 Pd 2.83-2.92, 4 Au 2.84-2.86, 1 Cd 2.88
Au 0.6782 0.4315 0.5257  5 Pd 2.83-2.92, 4 Au 2.84-2.86, 1 Cd 2.88
Au 0.7625 0.0190 0.6988  2 Au 2.84-2.86, 5 Pd 2.85-2.90, 3 Cd 2.88-2.89
Au 0.9810 0.2375 0.8012  2 Au 2.84-2.86, 5 Pd 2.85-2.90, 3 Cd 2.88-2.89

Results
energy relative to the lowest polymorph listed for this composition = 0.0 kJ/mol of atoms
ΔE_f = -0.178 eV per atom
Fermi-level density of states = 3.1 states/eV/f.u.

---

(8)
ZnFe3Te | PBE | relaxed

abc: 4.7148 4.7148 4.7148
angles: 90.00 90.00 90.00
Closest atoms and distances in Å follow each position.
Element x y z (fractional)
Zn 0.0000 0.0000 0.0000  12 Fe 3.33
Fe 0.0000 0.5000 0.5000  2 Te 2.36
Fe 0.5000 0.0000 0.5000  2 Te 2.36
Fe 0.5000 0.5000 0.0000  2 Te 2.36
Te 0.5000 0.5000 0.5000  6 Fe 2.36

Results
energy relative to the lowest polymorph listed for this composition = 0.0 kJ/mol of atoms
raw formation energy = 1.18 eV per atom
Fermi-level density of states = 6.3 states/eV/f.u.

---

(9)
Sr2TbPdO5 | PBE | relaxed

abc: 6.5130 6.5130 6.0780
angles: 90.00 90.00 90.00
Closest atoms and distances in Å follow each position.
Element x y z (fractional)
Sr 0.1636 0.3364 0.0000  4 O 2.37-2.44
Sr 0.3364 0.8364 0.0000  4 O 2.37-2.44
Sr 0.6636 0.1636 0.0000  4 O 2.37-2.44
Sr 0.8364 0.6636 0.0000  4 O 2.37-2.44
Tb 0.0000 0.0000 0.5000  10 O 2.76-3.04
Tb 0.5000 0.5000 0.5000  10 O 2.76-3.04
Pd 0.0000 0.5000 0.5000  4 O 1.98
Pd 0.5000 0.0000 0.5000  4 O 1.98
O 0.0000 0.0000 0.0000  4 Sr 2.44
O 0.1628 0.6628 0.2877  1 Pd 1.98
O 0.1628 0.6628 0.7123  1 Pd 1.98
O 0.3372 0.1628 0.2877  1 Pd 1.98
O 0.3372 0.1628 0.7123  1 Pd 1.98
O 0.5000 0.5000 0.0000  4 Sr 2.44
O 0.6628 0.8372 0.2877  1 Pd 1.98
O 0.6628 0.8372 0.7123  1 Pd 1.98
O 0.8372 0.3372 0.2877  1 Pd 1.98
O 0.8372 0.3372 0.7123  1 Pd 1.98

Results
raw formation energy = -2.03 eV per atom
Fermi-level density of states = 7.6 states/eV/f.u.

---

(10)
ScTl2ReO6 | PBE | relaxed

abc: 6.5670 6.5670 5.4910
angles: 90.00 90.00 120.00
Closest atoms and distances in Å follow each position.
Element x y z (fractional)
Sc 0.0000 0.0000 0.0000  6 O 2.16
Tl 0.3333 0.6667 0.4815  3 O 2.63
Tl 0.6667 0.3333 0.5185  3 O 2.63
Re 0.0000 0.0000 0.5000  6 O 1.91
O 0.1315 0.2630 0.7165  1 Re 1.91
O 0.1315 0.8685 0.7165  1 Re 1.91
O 0.2630 0.1315 0.2835  1 Re 1.91
O 0.7370 0.8685 0.7165  1 Re 1.91
O 0.8685 0.1315 0.2835  1 Re 1.91
O 0.8685 0.7370 0.2835  1 Re 1.91

Results
raw formation energy = -1.65 eV per atom

---

(11)
CaPrReO6 | PBE | relaxed

abc: 5.5554 5.5554 4.9756
angles: 90.00 90.00 120.00
Closest atoms and distances in Å follow each position.
Element x y z (fractional)
Ca 0.0000 0.0000 0.0000  6 O 2.31
Pr 0.6667 0.3333 0.5000  6 O 2.43
Re 0.3333 0.6667 0.0000  6 O 1.91
O 0.0480 0.3883 0.2182  1 Re 1.91
O 0.0480 0.6597 0.7818  1 Re 1.91
O 0.3403 0.3883 0.7818  1 Re 1.91
O 0.3403 0.9520 0.2182  1 Re 1.91
O 0.6117 0.6597 0.2182  1 Re 1.91
O 0.6117 0.9520 0.7818  1 Re 1.91

Results
raw formation energy = -2.43 eV per atom
Fermi-level density of states = 0.0 states/eV/f.u.

---

(12)
Ba3CeSi2O8 | PBE | relaxed

abc: 5.8426 5.8426 7.8796
angles: 90.00 90.00 120.00
Closest atoms and distances in Å follow each position.
Element x y z (fractional)
Ba 0.0000 0.0000 0.0000  6 O 2.95
Ba 0.3333 0.6667 0.6931  1 O 2.51
Ba 0.6667 0.3333 0.3069  1 O 2.51
Ce 0.0000 0.0000 0.5000  6 O 2.43
Si 0.3333 0.6667 0.2168  4 O 1.62-1.67
Si 0.6667 0.3333 0.7832  4 O 1.62-1.67
O 0.1799 0.3598 0.2948  1 Si 1.67
O 0.1799 0.8201 0.2948  1 Si 1.67
O 0.3333 0.6667 0.0115  1 Si 1.62
O 0.3598 0.1799 0.7052  1 Si 1.67
O 0.6402 0.8201 0.2948  1 Si 1.67
O 0.6667 0.3333 0.9885  1 Si 1.62
O 0.8201 0.1799 0.7052  1 Si 1.67
O 0.8201 0.6402 0.7052  1 Si 1.67

Results
raw formation energy = -2.84 eV per atom
Fermi-level density of states = 4.9 states/eV/f.u.

---

Repeat the fifth record exactly.
Sc6TlRh2 | PBE | relaxed

abc: 7.9703 7.9703 7.9703
angles: 112.71 111.24 104.58
Closest atoms and distances in Å follow each position.
Element x y z (fractional)
Sc 0.0294 0.2387 0.7907  2 Rh 2.60-2.88
Sc 0.1869 0.2894 0.4763  3 Rh 2.84-2.90, 1 Tl 3.06
Sc 0.1869 0.7106 0.8975  3 Rh 2.84-2.90, 1 Tl 3.06
Sc 0.3279 0.0286 0.7007  3 Rh 2.57-2.84
Sc 0.3279 0.6273 0.2993  3 Rh 2.57-2.84
Sc 0.4480 0.2387 0.2093  2 Rh 2.60-2.88
Sc 0.5520 0.7613 0.7907  2 Rh 2.60-2.88
Sc 0.6721 0.3727 0.7007  3 Rh 2.57-2.84
Sc 0.6721 0.9714 0.2993  3 Rh 2.57-2.84
Sc 0.8131 0.2894 0.1025  3 Rh 2.84-2.90, 1 Tl 3.06
Sc 0.8131 0.7106 0.5237  3 Rh 2.84-2.90, 1 Tl 3.06
Sc 0.9706 0.7613 0.2093  2 Rh 2.60-2.88
Tl 0.0000 0.0000 0.0000  8 Sc 2.99-3.06, 2 Rh 3.05
Tl 0.5000 0.5000 0.0000  12 Sc 3.13-3.38
Rh 0.1372 0.6372 0.5000  6 Sc 2.57-2.84, 1 Rh 2.67
Rh 0.3393 0.0000 0.3393  8 Sc 2.60-2.90, 1 Rh 2.89
Rh 0.6607 0.0000 0.6607  8 Sc 2.60-2.90, 1 Rh 2.89
Rh 0.8628 0.3628 0.5000  6 Sc 2.57-2.84, 1 Rh 2.67

Results
ΔE_f = -0.550 eV per atom
Fermi-level density of states = 10.4 states/eV/f.u.